## Cs2Np2CuS6 (PBE)

Data for Cs2Np2CuS6 after structural relaxation.

a = 6.512 Å, b = 12.725 Å, c = 8.457 Å
α = 90.00°, β = 103.99°, γ = 90.00°
Space group C2/m (No. 12)
Asymmetric unit:
Cs 0.000 0.148 0.000 [4 per cell]
Np 0.000 0.338 0.500 [4 per cell]
Cu 0.000 0.000 0.500 [2 per cell]
S 0.238 0.192 0.684 [8 per cell]
S 0.249 0.500 0.646 [4 per cell]

Calculated values
* calculated total energy: -6.22 eV/atom
* total moment: 10.00 Bohr magnetons per cell
* D(E_F): 1.67 states/eV/atom
* crystal system: monoclinic